MnGaGeSe2: optimized geometry, PBE-GGA.

Crystal system: orthorhombic
ρ, g/cm3: 5.01
E, eV/atom: -4.861
Energy relative to the lowest polymorph listed for this composition, meV/atom: 162
Energy relative to the elements, uncorrected, eV/atom: -0.104

Lattice parameters (Å, degrees): 3.515 4.773 7.240 90.00 104.04 90.00
Each line ends with the local moment (μB).
Fractional coordinates of all 5 atoms:
Mn 0.327 0.000 0.834  3.15
Ga 0.964 0.000 0.108  -0.02
Ge 0.411 0.500 0.000  -0.04
Se 0.716 0.000 0.610  0.00
Se 0.046 0.500 0.270  0.00